i) Here is a geometry-optimized CsKBe3 structure from the Alexandria database. Energies are from GGA-PBE.

Lattice parameters (Å, degrees): 6.0638 6.0638 6.0638 90.00 90.00 90.00
With the nearest neighbours (Å) after each atom.
Space group Pm-3m (No. 221)
Unique sites:
Cs1 0.0000 0.0000 0.0000 x1  12 Be 4.29
K1 0.5000 0.5000 0.5000 x1  6 Be 3.03
Be1 0.0000 0.5000 0.5000 x3  2 K 3.03

Properties
For the mass density, the calculation gives 1.48 g/cm³.

=====

ii) Here is a geometry-optimized CsKBe3 structure from the Alexandria database. Energies are from GGA-PBE.

Lattice parameters (Å, degrees): 6.2030 6.2030 6.2030 90.00 90.00 90.00
With the nearest neighbours (Å) after each atom.
Space group Pm-3m (No. 221)
Unique sites:
Cs1 0.0000 0.0000 0.0000 x1  6 Be 3.10
K1 0.5000 0.5000 0.5000 x1  12 Be 4.39
Be1 0.0000 0.0000 0.5000 x3  2 Cs 3.10

Properties
For the mass density, the calculation gives 1.38 g/cm³.

=====

Short version: ii) is the least stable of them.